This record from Alexandria via LeMat-Bulk describes a relaxed structure of NaSmGeO4. The functional is PBE.

Properties
* ρ: 5.07 g cm⁻³
* energy above the lowest structure with this stoichiometry: 0.37 eV/f.u.
* Fermi-level density of states: 0.00 states/eV per cell
* total moment: 0.0000 μB/atom

a = 5.5429 Å, b = 5.5429 Å, c = 7.3145 Å
α = 90.00°, β = 90.00°, γ = 115.27°
Positions (direct):
Na: 0.1766 0.8234 0.7500
Na: 0.8234 0.1766 0.2500
Sm: 0.5000 0.5000 0.0000
Sm: 0.5000 0.5000 0.5000
Ge: 0.1531 0.8469 0.2500
Ge: 0.8469 0.1531 0.7500
O: 0.2079 0.2781 0.7500
O: 0.2590 0.7410 0.0531
O: 0.2590 0.7410 0.4469
O: 0.2781 0.2079 0.2500
O: 0.7219 0.7921 0.7500
O: 0.7410 0.2590 0.5531
O: 0.7410 0.2590 0.9469
O: 0.7921 0.7219 0.2500